CoSe2Br after structural relaxation. Source: Alexandria via LeMat-Bulk, functional PBE-GGA.

The structure belongs to space group Pm (No. 6); the cell edges are 4.3518, 3.5382 and 7.2649 Å and the angles 90.00°, 106.41° and 90.00°. The distinct sites, in fractional coordinates, are Co at (0.0000, 0.0000, 0.0000), Se at (0.1042, 0.5000, 0.2211), Se at (0.5706, 0.0000, 0.1498) and Br at (0.8880, 0.5000, 0.7622).

Its offset from the most stable computed form is 95 meV per atom. As for the density of states at the Fermi level: 2.18 states/eV/cell. Its raw formation energy is -0.112 eV/atom. For the total energy, the calculation gives -4.049 eV/atom.